A plane-wave DFT calculation with SCAN was carried out for a PBEsol-optimized structure of V7S8.

Cell lengths 6.2570, 6.2570, 17.8828 Å; angles 90.00, 90.00, 120.00 degrees
Last column: nearest neighbours and their distance in Å.
Space group P3_121 (No. 152)
Unique sites:
V 0.0000 0.0009 0.1667 [3 per cell]  6 S 2.33-2.35
V 0.0000 0.0036 0.6667 [3 per cell]  6 S 2.34-2.37
V 0.0000 0.4963 0.6667 [3 per cell]  6 S 2.34-2.37
V 0.0012 0.4996 0.8343 [6 per cell]  6 S 2.33-2.37
V 0.0010 0.5032 0.3319 [6 per cell]  6 S 2.31-2.39
S 0.1627 0.3360 0.2484 [6 per cell]  5 V 2.33-2.38
S 0.1627 0.8261 0.2474 [6 per cell]  5 V 2.31-2.37
S 0.1653 0.8321 0.5844 [6 per cell]  6 V 2.34-2.37
S 0.3275 0.6635 0.0850 [6 per cell]  5 V 2.32-2.39

Results
Raw formation energy ... -1.079 eV/atom
M_tot ... 1.093 μB per formula unit
Density of states at the Fermi level ... 17.18 states/eV/cell
Theoretical density ... 5037 kg/m³
ΔE to the lowest computed polymorph ... 0 meV per atom
Crystal system ... trigonal